Computed, not measured: crystalline CsBaTc at its relaxed geometry at the PBE level of DFT.

abc: 5.6958 5.6958 5.6958
angles: 60.00 60.00 60.00
With the nearest neighbours (Å) after each atom.
Positions (direct):
Cs 0.7500 0.7500 0.7500  4 Tc 3.49
Tc 0.0000 0.0000 0.0000  4 Ba 3.49, 4 Cs 3.49
Ba 0.2500 0.2500 0.2500  4 Tc 3.49

Properties
**Space-group type**: F-43m, No. 216
**Relative energy among the computed polymorphs**: 0 meV per atom



Computed, not measured: crystalline PmScHg at its relaxed geometry at the PBE level of DFT.

abc: 5.0161 5.0161 5.0161
angles: 60.00 60.00 60.00
With the nearest neighbours (Å) after each atom.
Positions (direct):
Sc 0.7500 0.7500 0.7500  4 Hg 3.07
Hg 0.0000 0.0000 0.0000  4 Sc 3.07, 4 Pm 3.07
Pm 0.2500 0.2500 0.2500  4 Hg 3.07

Properties
**Space-group type**: F-43m, No. 216
**Calculated formation energy**: -0.195 eV per formula unit
**Relative energy among the computed polymorphs**: 0 meV per atom



Computed, not measured: crystalline FeAsSe at its relaxed geometry at the PBE level of DFT.

abc: 5.0497 3.2528 5.8757
angles: 90.00 91.34 90.00
With the nearest neighbours (Å) after each atom.
Positions (direct):
As 0.6896 0.0000 0.6363  3 Fe 2.36-2.41, 1 As 2.47
As 0.3104 0.0000 0.3637  3 Fe 2.36-2.41, 1 As 2.47
Fe 0.0000 0.5000 0.5000  2 Se 2.33, 4 As 2.41
Se 0.7964 0.5000 0.1402  3 Fe 2.33-2.35
Se 0.2036 0.5000 0.8598  3 Fe 2.33-2.35
Fe 0.5000 0.0000 0.0000  4 Se 2.35, 2 As 2.36

Properties
**Uncorrected energy**: -0.4228 Ry per atom
**Space-group type**: P2/m, No. 10



Computed, not measured: crystalline ErLuGa2 at its relaxed geometry at the PBE level of DFT.

abc: 4.0025 5.7604 5.7604
angles: 43.54 90.00 90.00
With the nearest neighbours (Å) after each atom.
Positions (direct):
Lu 0.5000 0.3609 0.3609  7 Ga 3.00-3.15
Ga 0.5000 0.0772 0.0772  2 Ga 2.60
Ga 0.0000 0.9226 0.9226  2 Ga 2.60
Er 0.0000 0.6393 0.6393  7 Ga 3.00-3.15

Properties
**Uncorrected energy**: -0.3237 Ry per atom
**Space-group type**: Amm2, No. 38



Repeat the first record exactly.
Computed, not measured: crystalline CsBaTc at its relaxed geometry at the PBE level of DFT.

abc: 5.6958 5.6958 5.6958
angles: 60.00 60.00 60.00
With the nearest neighbours (Å) after each atom.
Positions (direct):
Cs 0.7500 0.7500 0.7500  4 Tc 3.49
Tc 0.0000 0.0000 0.0000  4 Ba 3.49, 4 Cs 3.49
Ba 0.2500 0.2500 0.2500  4 Tc 3.49

Properties
**Space-group type**: F-43m, No. 216
**Relative energy among the computed polymorphs**: 0 meV per atom